Compound: MgAl2Te
Source: the Alexandria database
Functional: PBE-GGA
Structure: optimized geometry

polymorph energy (0 for the lowest one) = 323 meV/atom
DOS at the Fermi energy = 1.4 states/eV/f.u.
uncorrected energy = -45.238 eV for the cell shown
formation energy (no corrections) = 0.228 eV/atom

Cell and atoms, written as CIF:
```
data_MgAl2Te
_chemical_formula_sum 'Mg4 Al8 Te4'
_cell_length_a 7.104
_cell_length_b 7.104
_cell_length_c 7.104
_cell_angle_alpha 90.00
_cell_angle_beta 90.00
_cell_angle_gamma 90.00
_space_group_name_H-M_alt 'F m -3 m'
_space_group_IT_number 225
_space_group_name_Hall '-F 4 2 3'
loop_
_atom_site_label
_atom_site_fract_x
_atom_site_fract_y
_atom_site_fract_z
Mg1 0.000 0.000 0.000
Al1 0.250 0.250 0.250
Te1 0.000 0.000 0.500
```